This record from Alexandria describes crystalline CdGaGe at its relaxed geometry. The functional is PBE.

Computed properties:
The value obtained for the total energy is -2.728 eV/atom. The formation energy is 0.38 eV/f.u. The value obtained for the energy relative to the lowest polymorph listed for this composition is 0 kJ/mol of formula units. The calculation puts the spin magnetization at 0.0 μB per formula unit.

Unit cell a=3.0801 b=3.0801 c=7.4729 alpha=90.00 beta=90.00 gamma=120.00
Space group P3m1 (No. 156)
Unique sites:
1 Cd 0.0000 0.0000 0.0000 [1 per cell]
2 Ga 0.6667 0.3333 0.3403 [1 per cell]
3 Ge 0.3333 0.6667 0.6512 [1 per cell]



This record from Alexandria describes crystalline Hf2ReMo at its relaxed geometry. The functional is PBE.

Computed properties:
The value obtained for the total energy is -10.199 eV/atom. The formation energy is 2.39 eV/f.u. The calculation puts the spin magnetization at 0.0 μB per formula unit.

Unit cell a=7.389 b=7.389 c=5.643 alpha=90.00 beta=90.00 gamma=90.00
Space group I-42d (No. 122)
Unique sites:
1 Hf 0.240 0.250 0.125 [8 per cell]
2 Re 0.000 0.000 0.000 [4 per cell]
3 Mo 0.000 0.000 0.500 [4 per cell]



This record from Alexandria describes crystalline KBa2PuO6 at its relaxed geometry. The functional is PBE.

Computed properties:
The value obtained for the total energy is -7.480 eV/atom. The value obtained for the formation energy without anion corrections is -25.8 eV per formula unit. The calculation puts the spin magnetization at 1.0 μB per formula unit.

Unit cell a=6.284 b=6.535 c=10.899 alpha=90.00 beta=124.79 gamma=90.00
Space group P2_1/c (No. 14)
Unique sites:
1 K 0.000 0.000 0.000 [2 per cell]
2 Ba 0.231 0.048 0.744 [4 per cell]
3 Pu 0.500 0.000 0.500 [2 per cell]
4 O 0.199 0.170 0.460 [4 per cell]
5 O 0.266 0.749 0.428 [4 per cell]
6 O 0.394 0.056 0.290 [4 per cell]



This record from Alexandria describes crystalline La4SmHo3Se8 at its relaxed geometry. The functional is PBE.

Computed properties:
The value obtained for the total energy is -6.003 eV/atom. The value obtained for the formation energy without anion corrections is -30.0 eV per formula unit. The calculation puts the spin magnetization at 0.0 μB per formula unit.

Unit cell a=8.3488 b=8.3488 c=20.8207 alpha=90.00 beta=90.00 gamma=120.00
Space group R-3m (No. 166, hexagonal axes)
Unique sites:
1 La 0.0000 0.0000 0.0000 [3 per cell]
2 La 0.0000 0.5000 0.0000 [9 per cell]
3 Sm 0.0000 0.0000 0.5000 [3 per cell]
4 Ho 0.0000 0.5000 0.5000 [9 per cell]
5 Se 0.0000 0.0000 0.2429 [6 per cell]
6 Se 0.0053 0.5027 0.7559 [18 per cell]



This record from Alexandria describes crystalline CoRe3S at its relaxed geometry. The functional is PBE.

Computed properties:
The value obtained for the total energy is -8.536 eV/atom. The value obtained for the formation energy without anion corrections is 5.9 eV per formula unit. The value obtained for the energy relative to the lowest polymorph listed for this composition is 0 kJ/mol of formula units. The calculation puts the spin magnetization at 1.5 μB per formula unit.

Unit cell a=4.306 b=4.306 c=4.306 alpha=90.00 beta=90.00 gamma=90.00
Space group Pm-3m (No. 221)
Unique sites:
1 Co 0.000 0.000 0.000 [1 per cell]
2 Re 0.000 0.500 0.500 [3 per cell]
3 S 0.500 0.500 0.500 [1 per cell]



This record from Alexandria describes crystalline Re2TcAg at its relaxed geometry. The functional is PBE.

Computed properties:
The value obtained for the total energy is -9.254 eV/atom. The formation energy is 1.10 eV/f.u. The value obtained for the energy relative to the lowest polymorph listed for this composition is 9 kJ/mol of formula units. The calculation puts the spin magnetization at 0.0 μB per formula unit.

Unit cell a=2.7621 b=2.7621 c=28.1691 alpha=90.00 beta=90.00 gamma=120.00
Space group R-3m (No. 166, hexagonal axes)
Unique sites:
1 Re 0.0000 0.0000 0.2447 [6 per cell]
2 Tc 0.0000 0.0000 0.5000 [3 per cell]
3 Ag 0.0000 0.0000 0.0000 [3 per cell]